# 1
Below is a relaxed structure of Fe2SbAu, with properties calculated at the PBE-GGA level.

abc: 6.4111 6.4111 6.4111
angles: 90.00 90.00 90.00
Last column: nearest neighbours and their distance in Å.
Positions (direct):
Fe: 0.0000 0.0000 0.0000  4 Fe 2.78, 4 Sb 2.78
Fe: 0.0000 0.5000 0.5000  4 Fe 2.78, 4 Sb 2.78
Fe: 0.2500 0.2500 0.2500  4 Fe 2.78, 4 Au 2.78
Fe: 0.2500 0.7500 0.7500  4 Fe 2.78, 4 Au 2.78
Fe: 0.5000 0.0000 0.5000  4 Fe 2.78, 4 Sb 2.78
Fe: 0.5000 0.5000 0.0000  4 Fe 2.78, 4 Sb 2.78
Fe: 0.7500 0.2500 0.7500  4 Fe 2.78, 4 Au 2.78
Fe: 0.7500 0.7500 0.2500  4 Fe 2.78, 4 Au 2.78
Sb: 0.2500 0.2500 0.7500  4 Fe 2.78, 4 Au 2.78
Sb: 0.2500 0.7500 0.2500  4 Fe 2.78, 4 Au 2.78
Sb: 0.7500 0.2500 0.2500  4 Fe 2.78, 4 Au 2.78
Sb: 0.7500 0.7500 0.7500  4 Fe 2.78, 4 Au 2.78
Au: 0.0000 0.0000 0.5000  4 Sb 2.78, 4 Fe 2.78
Au: 0.0000 0.5000 0.0000  4 Sb 2.78, 4 Fe 2.78
Au: 0.5000 0.0000 0.0000  4 Sb 2.78, 4 Fe 2.78
Au: 0.5000 0.5000 0.5000  4 Sb 2.78, 4 Fe 2.78

Calculated values
As for the formation energy (no corrections): 0.371 eV/atom. For the uncorrected energy, the calculation gives -5.710 eV/atom. The density comes out at 10.85 Mg/m³. Its space group is No. 216.

# 2
Below is a relaxed structure of PrBi3Te6, with properties calculated at the PBE-GGA level.

abc: 13.2162 4.4335 13.2950
angles: 90.00 110.03 90.00
Last column: nearest neighbours and their distance in Å.
Positions (direct):
Pr: 0.1958 0.2500 0.0429  8 Te 3.26-3.37
Pr: 0.8042 0.7500 0.9571  8 Te 3.26-3.37
Bi: 0.0377 0.7500 0.2988  5 Te 3.00-3.30
Bi: 0.3404 0.2500 0.4436  6 Te 3.05-3.35
Bi: 0.3982 0.7500 0.8502  3 Te 3.01-3.02
Bi: 0.6018 0.2500 0.1498  3 Te 3.01-3.02
Bi: 0.6596 0.7500 0.5564  6 Te 3.05-3.35
Bi: 0.9623 0.2500 0.7012  5 Te 3.00-3.30
Te: 0.0281 0.7500 0.8966  3 Pr 3.26-3.32, 2 Bi 3.30
Te: 0.1189 0.2500 0.4692  3 Bi 3.06-3.09
Te: 0.2340 0.2500 0.8049  3 Bi 3.02-3.38, 1 Pr 3.37
Te: 0.2405 0.7500 0.2448  3 Bi 3.00-3.35
Te: 0.3962 0.7500 0.0761  1 Bi 3.01, 2 Pr 3.37
Te: 0.4313 0.7500 0.6071  4 Bi 3.05-3.41
Te: 0.5687 0.2500 0.3929  4 Bi 3.05-3.41
Te: 0.6038 0.2500 0.9239  1 Bi 3.01, 2 Pr 3.37
Te: 0.7595 0.2500 0.7552  3 Bi 3.00-3.35
Te: 0.7660 0.7500 0.1951  3 Bi 3.02-3.38, 1 Pr 3.37
Te: 0.8811 0.7500 0.5308  3 Bi 3.06-3.09
Te: 0.9719 0.2500 0.1034  3 Pr 3.26-3.32, 2 Bi 3.30

Calculated values
As for the formation energy (no corrections): -0.526 eV/atom. For the uncorrected energy, the calculation gives -4.053 eV/atom. The density comes out at 6.96 Mg/m³. Its space group is No. 11.

# 3
Below is a relaxed structure of Bi3Au11, with properties calculated at the PBE-GGA level.

abc: 8.7100 8.7100 8.7100
angles: 152.33 96.73 89.84
Last column: nearest neighbours and their distance in Å.
Positions (direct):
Bi: 0.0000 0.0000 0.0000  8 Au 2.99
Bi: 0.2953 0.2953 0.0000  12 Au 3.19-3.28
Bi: 0.7047 0.7047 0.0000  12 Au 3.19-3.28
Au: 0.0017 0.6280 0.3738  5 Au 2.80-2.92, 2 Bi 2.99
Au: 0.1347 0.8416 0.2930  6 Au 2.80-3.09
Au: 0.2542 0.6280 0.6262  5 Au 2.80-2.92, 2 Bi 2.99
Au: 0.3322 0.5000 0.8322  8 Au 2.85-2.89, 2 Bi 3.19
Au: 0.4514 0.1584 0.2930  6 Au 2.80-3.09
Au: 0.5000 0.0000 0.5000  8 Au 2.85-3.09
Au: 0.5486 0.8416 0.7070  6 Au 2.80-3.09
Au: 0.6678 0.5000 0.1678  8 Au 2.85-2.89, 2 Bi 3.19
Au: 0.7458 0.3720 0.3738  5 Au 2.80-2.92, 2 Bi 2.99
Au: 0.8653 0.1584 0.7070  6 Au 2.80-3.09
Au: 0.9983 0.3720 0.6262  5 Au 2.80-2.92, 2 Bi 2.99

Calculated values
The energy of formation comes out at 0.026 eV per atom. For the uncorrected energy, the calculation gives -3.381 eV/atom. The density comes out at 15.60 Mg/m³. Its space group is No. 71.

# 4
Below is a relaxed structure of Nd2AlCo2, with properties calculated at the PBE-GGA level.

abc: 4.0416 5.5746 8.8420
angles: 90.00 90.00 90.00
Last column: nearest neighbours and their distance in Å.
Positions (direct):
Nd: 0.0000 0.0000 0.2006  6 Co 2.97-3.06, 2 Al 3.30
Nd: 0.0000 0.0000 0.7994  6 Co 2.97-3.06, 2 Al 3.30
Nd: 0.5000 0.5000 0.2994  6 Co 2.97-3.06, 2 Al 3.30
Nd: 0.5000 0.5000 0.7006  6 Co 2.97-3.06, 2 Al 3.30
Al: 0.0000 0.5000 0.0000  4 Co 2.54
Al: 0.5000 0.0000 0.5000  4 Co 2.54
Co: 0.0000 0.2747 0.5000  1 Co 2.51, 2 Al 2.54
Co: 0.0000 0.7253 0.5000  1 Co 2.51, 2 Al 2.54
Co: 0.5000 0.2253 0.0000  1 Co 2.51, 2 Al 2.54
Co: 0.5000 0.7747 0.0000  1 Co 2.51, 2 Al 2.54

Calculated values
The energy of formation comes out at -0.252 eV per atom. For the uncorrected energy, the calculation gives -5.750 eV/atom. The density comes out at 7.22 Mg/m³. Its space group is No. 71.

# 5
Below is a relaxed structure of SrPrDy, with properties calculated at the PBE-GGA level.

abc: 3.7822 3.7822 9.4096
angles: 90.00 90.00 120.00
Last column: nearest neighbours and their distance in Å.
Positions (direct):
Sr: 0.0000 0.0000 0.0000  6 Sr 3.78, 3 Dy 3.91, 3 Pr 4.03
Pr: 0.6667 0.3333 0.3605  3 Dy 3.53, 6 Pr 3.78
Dy: 0.3333 0.6667 0.6549  3 Pr 3.53, 6 Dy 3.78, 3 Sr 3.91

Calculated values
The energy of formation comes out at 0.122 eV per atom. For the uncorrected energy, the calculation gives -3.566 eV/atom. The density comes out at 5.57 Mg/m³. The value obtained for the offset from the most stable computed form is 1.8 kJ/mol of atoms. Its space group is No. 156.

# 6
Below is a relaxed structure of Cs2UTe4, with properties calculated at the PBE-GGA level.

abc: 5.8773 5.8773 19.3212
angles: 90.00 90.00 90.00
Last column: nearest neighbours and their distance in Å.
Positions (direct):
Cs: 0.0000 0.0000 0.1467  9 Te 3.96-4.16
Cs: 0.0000 0.0000 0.8533  9 Te 3.96-4.16
Cs: 0.5000 0.5000 0.3533  9 Te 3.96-4.16
Cs: 0.5000 0.5000 0.6467  9 Te 3.96-4.16
U: 0.0000 0.0000 0.5000  6 Te 2.87-2.94
U: 0.5000 0.5000 0.0000  6 Te 2.87-2.94
Te: 0.0000 0.0000 0.3515  1 U 2.87
Te: 0.0000 0.0000 0.6485  1 U 2.87
Te: 0.0000 0.5000 0.0000  2 U 2.94
Te: 0.0000 0.5000 0.5000  2 U 2.94
Te: 0.5000 0.0000 0.0000  2 U 2.94
Te: 0.5000 0.0000 0.5000  2 U 2.94
Te: 0.5000 0.5000 0.1485  1 U 2.87
Te: 0.5000 0.5000 0.8515  1 U 2.87

Calculated values
As for the formation energy (no corrections): -0.821 eV/atom. For the uncorrected energy, the calculation gives -4.472 eV/atom. The density comes out at 5.05 Mg/m³. Its space group is No. 139.

# 7
Below is a relaxed structure of PrTmAgPb, with properties calculated at the PBE-GGA level.

abc: 7.5799 7.5799 7.5799
angles: 90.00 90.00 90.00
Last column: nearest neighbours and their distance in Å.
Positions (direct):
Pr: 0.0000 0.0000 0.0000  4 Pb 3.28, 4 Ag 3.28
Pr: 0.0000 0.5000 0.5000  4 Pb 3.28, 4 Ag 3.28
Pr: 0.5000 0.0000 0.5000  4 Pb 3.28, 4 Ag 3.28
Pr: 0.5000 0.5000 0.0000  4 Pb 3.28, 4 Ag 3.28
Tm: 0.0000 0.0000 0.5000  4 Ag 3.28, 4 Pb 3.28
Tm: 0.0000 0.5000 0.0000  4 Ag 3.28, 4 Pb 3.28
Tm: 0.5000 0.0000 0.0000  4 Ag 3.28, 4 Pb 3.28
Tm: 0.5000 0.5000 0.5000  4 Ag 3.28, 4 Pb 3.28
Ag: 0.2500 0.2500 0.7500  4 Pr 3.28, 4 Tm 3.28
Ag: 0.2500 0.7500 0.2500  4 Pr 3.28, 4 Tm 3.28
Ag: 0.7500 0.2500 0.2500  4 Pr 3.28, 4 Tm 3.28
Ag: 0.7500 0.7500 0.7500  4 Pr 3.28, 4 Tm 3.28
Pb: 0.2500 0.2500 0.2500  4 Tm 3.28, 4 Pr 3.28
Pb: 0.2500 0.7500 0.7500  4 Pr 3.28, 4 Tm 3.28
Pb: 0.7500 0.2500 0.7500  4 Pr 3.28, 4 Tm 3.28
Pb: 0.7500 0.7500 0.2500  4 Pr 3.28, 4 Tm 3.28

Calculated values
The energy of formation comes out at -0.377 eV per atom. For the uncorrected energy, the calculation gives -4.330 eV/atom. The density comes out at 9.53 Mg/m³. Its space group is No. 216.

# 8
Below is a relaxed structure of Ac3Y, with properties calculated at the PBE-GGA level.

abc: 5.5200 5.5200 10.9417
angles: 90.00 90.00 90.00
Last column: nearest neighbours and their distance in Å.
Positions (direct):
Ac: 0.0000 0.0000 0.0000  8 Ac 3.89, 4 Y 3.90
Ac: 0.0000 0.5000 0.2500  8 Ac 3.89-3.90, 4 Y 3.89
Ac: 0.0000 0.5000 0.7500  8 Ac 3.89-3.90, 4 Y 3.89
Ac: 0.5000 0.0000 0.2500  8 Ac 3.89-3.90, 4 Y 3.89
Ac: 0.5000 0.0000 0.7500  8 Ac 3.89-3.90, 4 Y 3.89
Ac: 0.5000 0.5000 0.5000  8 Ac 3.89, 4 Y 3.90
Y: 0.0000 0.0000 0.5000  12 Ac 3.89-3.90
Y: 0.5000 0.5000 0.0000  12 Ac 3.89-3.90

Calculated values
The energy of formation comes out at 0.043 eV per atom. For the uncorrected energy, the calculation gives -4.655 eV/atom. The density comes out at 7.67 Mg/m³. Its space group is No. 139.

# 9
Below is a relaxed structure of ZrPaSi4, with properties calculated at the PBE-GGA level.

abc: 6.9848 3.7127 8.1257
angles: 90.00 90.00 90.00
Last column: nearest neighbours and their distance in Å.
Positions (direct):
Zr: 0.2500 0.0000 0.1176  12 Si 2.94-3.02
Zr: 0.7500 0.0000 0.8824  12 Si 2.94-3.02
Pa: 0.2500 0.0000 0.6287  12 Si 2.98-3.01
Pa: 0.7500 0.0000 0.3713  12 Si 2.98-3.01
Si: 0.0821 0.5000 0.8771  3 Si 2.30-2.35
Si: 0.0841 0.5000 0.3741  3 Si 2.32-2.36
Si: 0.4159 0.5000 0.3741  3 Si 2.32-2.36
Si: 0.4179 0.5000 0.8771  3 Si 2.30-2.35
Si: 0.5821 0.5000 0.1229  3 Si 2.30-2.35
Si: 0.5841 0.5000 0.6259  3 Si 2.32-2.36
Si: 0.9159 0.5000 0.6259  3 Si 2.32-2.36
Si: 0.9179 0.5000 0.1229  3 Si 2.30-2.35

Calculated values
As for the formation energy (no corrections): -0.454 eV/atom. For the uncorrected energy, the calculation gives -7.077 eV/atom. The density comes out at 6.85 Mg/m³. Its space group is No. 51.

# 10
Below is a relaxed structure of CeFeTc2P2, with properties calculated at the PBE-GGA level.

abc: 3.9179 7.4671 6.2574
angles: 90.00 90.00 90.00
Last column: nearest neighbours and their distance in Å.
Positions (direct):
Ce: 0.0000 0.0492 0.0000  5 P 2.85-2.94, 2 Fe 3.00, 1 Tc 3.05
Ce: 0.0000 0.9508 0.5000  5 P 2.85-2.94, 2 Fe 3.00, 1 Tc 3.05
Fe: 0.5000 0.2260 0.6525  3 P 2.28-2.29
Fe: 0.5000 0.7740 0.1525  3 P 2.28-2.29
Tc: 0.0000 0.3445 0.3709  4 P 2.31-2.34
Tc: 0.0000 0.6555 0.8709  4 P 2.31-2.34
Tc: 0.5000 0.4141 0.0156  3 P 2.42-2.62, 1 Fe 2.67
Tc: 0.5000 0.5859 0.5156  3 P 2.42-2.62, 1 Fe 2.67
P: 0.0000 0.3653 0.7447  2 Fe 2.29, 2 Tc 2.31-2.34
P: 0.0000 0.6347 0.2447  2 Fe 2.29, 2 Tc 2.31-2.34
P: 0.5000 0.1864 0.2910  1 Fe 2.28, 3 Tc 2.34-2.42
P: 0.5000 0.8136 0.7910  1 Fe 2.28, 3 Tc 2.34-2.42

Calculated values
The energy of formation comes out at -0.586 eV per atom. For the uncorrected energy, the calculation gives -8.244 eV/atom. The density comes out at 8.23 Mg/m³. Its space group is No. 26.